Density functional theory data (GGA-PBE) for crystalline InAsOs2 at its relaxed geometry.

a = 6.4459 Å, b = 6.4459 Å, c = 6.4459 Å
α = 90.00°, β = 90.00°, γ = 90.00°
Last column: nearest neighbours and their distance in Å.
Fractional coordinates of all 16 atoms:
In  0.0000  0.0000  0.0000  4 As 2.79, 4 Os 2.79
In  0.0000  0.5000  0.5000  4 As 2.79, 4 Os 2.79
In  0.5000  0.0000  0.5000  4 As 2.79, 4 Os 2.79
In  0.5000  0.5000  0.0000  4 As 2.79, 4 Os 2.79
As  0.2500  0.2500  0.2500  4 Os 2.79, 4 In 2.79
As  0.2500  0.7500  0.7500  4 In 2.79, 4 Os 2.79
As  0.7500  0.2500  0.7500  4 In 2.79, 4 Os 2.79
As  0.7500  0.7500  0.2500  4 In 2.79, 4 Os 2.79
Os  0.0000  0.0000  0.5000  4 Os 2.79, 4 As 2.79
Os  0.0000  0.5000  0.0000  4 Os 2.79, 4 As 2.79
Os  0.2500  0.2500  0.7500  4 In 2.79, 4 Os 2.79
Os  0.2500  0.7500  0.2500  4 In 2.79, 4 Os 2.79
Os  0.5000  0.0000  0.0000  4 Os 2.79, 4 As 2.79
Os  0.5000  0.5000  0.5000  4 Os 2.79, 4 As 2.79
Os  0.7500  0.2500  0.2500  4 In 2.79, 4 Os 2.79
Os  0.7500  0.7500  0.7500  4 In 2.79, 4 Os 2.79

theoretical density: 14.14 g cm⁻³
formation energy: 0.833 eV/atom
ΔE to the lowest computed polymorph: 12.32 kcal/mol of atoms


Density functional theory data (GGA-PBE) for crystalline InAsOs2 at its relaxed geometry.

a = 2.9723 Å, b = 4.6351 Å, c = 4.8827 Å
α = 90.00°, β = 90.00°, γ = 90.00°
Last column: nearest neighbours and their distance in Å.
Fractional coordinates of all 4 atoms:
In  0.0000  0.0000  0.0000  6 Os 2.81-2.90, 2 In 2.97, 4 As 3.03
As  0.5000  0.5000  0.2593  4 Os 2.47-2.62
Os  0.0000  0.5000  0.6634  2 As 2.47
Os  0.5000  0.0000  0.5104  2 As 2.62, 4 In 2.81-2.90, 4 Os 2.85

theoretical density: 14.08 g cm⁻³
formation energy: 0.451 eV/atom
ΔE to the lowest computed polymorph: 3.51 kcal/mol of atoms


Density functional theory data (GGA-PBE) for crystalline InAsOs2 at its relaxed geometry.

a = 9.0794 Å, b = 2.9754 Å, c = 5.2470 Å
α = 90.00°, β = 100.79°, γ = 90.00°
Last column: nearest neighbours and their distance in Å.
Fractional coordinates of all 8 atoms:
In  0.0000  0.0000  0.0000  7 Os 2.87-3.04, 2 In 2.98, 3 As 3.03-3.21
In  0.5000  0.5000  0.0000  7 Os 2.87-3.04, 2 In 2.98, 3 As 3.03-3.21
As  0.2757  0.5000  0.3605  5 Os 2.50-2.65
As  0.7757  0.0000  0.3605  5 Os 2.50-2.65
Os  0.0121  0.5000  0.5098  3 As 2.61-2.65, 3 Os 2.68-2.86
Os  0.2472  0.0000  0.7300  2 As 2.50, 2 Os 2.68
Os  0.5121  0.0000  0.5098  3 As 2.61-2.65, 3 Os 2.68-2.86
Os  0.7472  0.5000  0.7300  2 As 2.50, 2 Os 2.68

theoretical density: 13.60 g cm⁻³
formation energy: 0.522 eV/atom
ΔE to the lowest computed polymorph: 5.14 kcal/mol of atoms


Density functional theory data (GGA-PBE) for crystalline In2AsOs at its relaxed geometry.

a = 3.0877 Å, b = 3.0877 Å, c = 8.7070 Å
α = 90.00°, β = 90.00°, γ = 90.00°
Last column: nearest neighbours and their distance in Å.
Fractional coordinates of all 4 atoms:
In  0.0000  0.0000  0.0000  8 In 3.09-3.44
In  0.5000  0.5000  0.3052  4 Os 2.96, 4 In 3.09
As  0.5000  0.5000  0.6878  4 Os 2.56
Os  0.0000  0.0000  0.5348  4 As 2.56

theoretical density: 9.90 g cm⁻³
formation energy: 0.140 eV/atom